Entry 1:
## Ta2VHPt (GGA-PBE)

Data for a relaxed Ta2VHPt crystal.

Unit cell a=4.2633 b=4.2633 c=3.7417 alpha=90.00 beta=90.00 gamma=90.00
Closest atoms and distances in Å follow each position.
Space group P4/mmm (No. 123)
Asymmetric unit:
Ta1 0.0000 0.5000 0.0000 x2  2 H 2.13
V1 0.0000 0.0000 0.5000 x1  8 Ta 2.84, 4 Pt 3.01
H1 0.5000 0.5000 0.0000 x1  2 Pt 1.87
Pt1 0.5000 0.5000 0.5000 x1  2 H 1.87

Computed properties:
- Distance to the lowest polymorph of the same formula: 130 meV/atom
- DFT total energy: -43.0 eV per cell

Entry 2:
## Na4PmTm3Te8 (GGA-PBE)

Data for a relaxed Na4PmTm3Te8 crystal.

Unit cell a=8.8402 b=8.8402 c=22.6996 alpha=90.00 beta=90.00 gamma=120.00
Closest atoms and distances in Å follow each position.
Space group R-3m (No. 166, hexagonal axes)
Asymmetric unit:
Na1 0.0000 0.0000 0.0000 x3  6 Te 3.21
Na2 0.0000 0.5000 0.0000 x9  6 Te 3.28
Pm1 0.0000 0.0000 0.5000 x3  6 Te 3.15
Tm1 0.0000 0.5000 0.5000 x9  6 Te 3.07-3.08
Te1 0.0000 0.0000 0.2427 x6  3 Tm 3.08, 3 Na 3.28
Te2 0.0076 0.5038 0.7559 x18  2 Tm 3.07, 1 Pm 3.15, 3 Na 3.21-3.28

Computed properties:
- E_form (uncorrected): -1.30 eV/atom
- DFT total energy: -208.1 eV per cell

Entry 3:
## Tm4Ag2H (GGA-PBE)

Data for a relaxed Tm4Ag2H crystal.

Unit cell a=4.6373 b=4.6373 c=14.8978 alpha=90.00 beta=90.00 gamma=90.00
Closest atoms and distances in Å follow each position.
Space group I4/mmm (No. 139)
Asymmetric unit:
Tm1 0.0000 0.0000 0.1803 x4  1 H 2.69, 1 Ag 2.84
Tm2 0.0000 0.5000 0.0000 x4  2 H 2.32
Ag1 0.0000 0.0000 0.3709 x4  5 Tm 2.84-3.01
H1 0.0000 0.0000 0.0000 x2  4 Tm 2.32

Computed properties:
- DFT total energy: -56.3 eV per cell

Entry 4:
## BeSiSe (GGA-PBE)

Data for a relaxed BeSiSe crystal.

Unit cell a=3.7454 b=3.7454 c=27.7387 alpha=90.00 beta=90.00 gamma=120.00
Closest atoms and distances in Å follow each position.
Space group R3m (No. 160, hexagonal axes)
Asymmetric unit:
Be1 0.0000 0.0000 0.0000 x3  4 Se 2.22-2.29
Be2 0.0000 0.0000 0.2261 x3  1 Si 2.26, 3 Se 2.29
Si1 0.0000 0.0000 0.1445 x3  1 Be 2.26, 3 Si 2.31
Si2 0.0000 0.0000 0.4486 x3  3 Si 2.31, 1 Se 2.45
Se1 0.0000 0.0000 0.3602 x3  3 Be 2.29, 1 Si 2.45
Se2 0.0000 0.0000 0.9200 x3  4 Be 2.22-2.29

Computed properties:
- E_form (uncorrected): -0.40 eV/atom
- Distance to the lowest polymorph of the same formula: 2 meV/atom
- DFT total energy: -83.0 eV per cell

Entry 5:
## TeRuSe2 (GGA-PBE)

Data for a relaxed TeRuSe2 crystal.

Unit cell a=5.5197 b=5.5197 c=5.4378 alpha=90.00 beta=90.00 gamma=90.00
Closest atoms and distances in Å follow each position.
Space group I4/mmm (No. 139)
Asymmetric unit:
Te1 0.0000 0.0000 0.0000 x2  2 Ru 2.72, 4 Se 2.76
Ru1 0.0000 0.0000 0.5000 x2  2 Te 2.72, 4 Se 2.76
Se1 0.0000 0.5000 0.0000 x4  2 Se 2.72, 2 Ru 2.76, 2 Te 2.76

Computed properties:
- E_form (uncorrected): 0.30 eV/atom
- DFT total energy: -36.3 eV per cell

Entry 6:
## AlZn2In (GGA-PBE)

Data for a relaxed AlZn2In crystal.

Unit cell a=3.3959 b=4.5881 c=4.9938 alpha=90.00 beta=90.00 gamma=90.00
Closest atoms and distances in Å follow each position.
Space group Pmmm (No. 47)
Asymmetric unit:
Al1 0.0000 0.0000 0.0000 x1  4 Zn 2.85, 4 In 3.02
Zn1 0.0000 0.5000 0.5000 x1  4 In 2.85, 4 Zn 3.02
Zn2 0.5000 0.5000 0.0000 x1  4 Al 2.85, 4 Zn 3.02
In1 0.5000 0.0000 0.5000 x1  4 Zn 2.85, 4 Al 3.02

Computed properties:
- Distance to the lowest polymorph of the same formula: 119 meV/atom
- Energy of formation: 0.204 eV/atom
- DFT total energy: -8.2 eV per cell

Entry 7:
## YIn2Mo (GGA-PBE)

Data for a relaxed YIn2Mo crystal.

Unit cell a=10.0953 b=3.2313 c=5.6411 alpha=90.00 beta=101.46 gamma=90.00
Closest atoms and distances in Å follow each position.
Space group C2/m (No. 12)
Asymmetric unit:
Y1 0.0000 0.0000 0.0000 x2  6 In 3.13-3.23, 2 Y 3.23, 4 Mo 3.25
In1 0.2378 0.0000 0.7196 x4  3 Mo 2.95-3.14, 4 In 3.01-3.23, 3 Y 3.13-3.23
Mo1 0.0000 0.5000 0.5000 x2  6 In 2.95-3.14, 2 Mo 3.23, 4 Y 3.25

Computed properties:
- Distance to the lowest polymorph of the same formula: 105 meV/atom
- Energy of formation: 0.111 eV/atom
- DFT total energy: -44.7 eV per cell

Entry 8:
## Pa2Sb4Au (GGA-PBE)

Data for a relaxed Pa2Sb4Au crystal.

Unit cell a=4.3906 b=4.3906 c=9.5505 alpha=90.00 beta=90.00 gamma=90.00
Closest atoms and distances in Å follow each position.
Space group P-4m2 (No. 115)
Asymmetric unit:
Pa1 0.0000 0.5000 0.2482 x2  8 Sb 3.17-3.26, 2 Au 3.23
Sb1 0.0000 0.0000 0.5000 x1  4 Sb 3.10, 4 Pa 3.26
Sb2 0.0000 0.5000 0.8196 x2  2 Au 2.79
Sb3 0.5000 0.5000 0.5000 x1  4 Sb 3.10, 4 Pa 3.26
Au1 0.5000 0.5000 0.0000 x1  4 Sb 2.79

Computed properties:
- E_form (uncorrected): -0.48 eV/atom
- DFT total energy: -42.1 eV per cell

Entry 9:
## Zr3TlV (GGA-PBE)

Data for a relaxed Zr3TlV crystal.

Unit cell a=5.3176 b=5.3176 c=5.3176 alpha=90.00 beta=90.00 gamma=90.00
Closest atoms and distances in Å follow each position.
Space group Pm-3m (No. 221)
Asymmetric unit:
Zr1 0.0000 0.0000 0.5000 x3  2 Tl 2.66
Tl1 0.0000 0.0000 0.0000 x1  6 Zr 2.66
V1 0.5000 0.5000 0.5000 x1  12 Zr 3.76

Computed properties:
- Distance to the lowest polymorph of the same formula: 966 meV/atom
- Energy of formation: 1.500 eV/atom
- DFT total energy: -29.6 eV per cell

Entry 10:
## Tb3Zn2Cu (GGA-PBE)

Data for a relaxed Tb3Zn2Cu crystal.

Unit cell a=5.0215 b=5.0215 c=12.2903 alpha=90.00 beta=90.00 gamma=120.00
Closest atoms and distances in Å follow each position.
Space group P-3m1 (No. 164)
Asymmetric unit:
Tb1 0.0000 0.0000 0.2475 x2  5 Zn 3.04-3.11, 3 Cu 3.09
Tb2 0.3333 0.6667 0.4127 x2  7 Zn 3.04-3.09, 1 Cu 3.09
Tb3 0.3333 0.6667 0.9154 x2  4 Cu 3.02-3.05, 4 Zn 3.08-3.12
Zn1 0.0000 0.0000 0.0000 x1  8 Tb 3.04-3.08
Zn2 0.0000 0.0000 0.5000 x1  8 Tb 3.09-3.10
Zn3 0.3333 0.6667 0.6614 x2  8 Tb 3.04-3.12
Cu1 0.3333 0.6667 0.1612 x2  8 Tb 3.02-3.09

Computed properties:
- Distance to the lowest polymorph of the same formula: 6 meV/atom
- Energy of formation: -0.298 eV/atom
- DFT total energy: -44.7 eV per cell

Entry 11:
## Pm3Y2Pb4 (GGA-PBE)

Data for a relaxed Pm3Y2Pb4 crystal.

Unit cell a=16.5888 b=5.0906 c=6.8798 alpha=90.00 beta=105.14 gamma=90.00
Closest atoms and distances in Å follow each position.
Space group C2/m (No. 12)
Asymmetric unit:
Pm1 0.0000 0.0000 0.0000 x2  4 Pb 3.19
Pm2 0.1167 0.0000 0.5803 x4  7 Pb 3.28-3.54
Y1 0.1674 0.5000 0.0755 x4  5 Pb 3.06-3.34
Pb1 0.0066 0.5000 0.2833 x4  1 Pb 3.05, 2 Pm 3.19, 2 Y 3.27-3.34
Pb2 0.2462 0.0000 0.2915 x4  3 Y 3.06-3.21, 3 Pm 3.28-3.37

Computed properties:
- Distance to the lowest polymorph of the same formula: 0 meV/atom
- Energy of formation: -0.483 eV/atom
- DFT total energy: -92.7 eV per cell

Entry 12:
## Li3SeI (GGA-PBE)

Data for a relaxed Li3SeI crystal.

Unit cell a=5.0546 b=5.0546 c=5.0546 alpha=90.00 beta=90.00 gamma=90.00
Closest atoms and distances in Å follow each position.
Space group Pm-3m (No. 221)
Asymmetric unit:
Li1 0.0000 0.0000 0.5000 x3  2 I 2.53
Se1 0.5000 0.5000 0.5000 x1  12 Li 3.57
I1 0.0000 0.0000 0.0000 x1  6 Li 2.53

Computed properties:
- E_form (uncorrected): -0.65 eV/atom
- Distance to the lowest polymorph of the same formula: 535 meV/atom
- DFT total energy: -14.1 eV per cell

> What is the DFT total energy in the eighth record?

-42.1 eV per cell

> What is the DFT total energy in the ninth record?

-29.6 eV per cell